[1]
9
Lattice="-3.510 3.510 4.239 3.510 -3.510 4.239 3.510 3.510 -4.239" Properties=species:S:1:pos:R:3 comment="Pm2Sm2ZnPt4, relaxed, DFT PBE" ef_ev_per_atom=-0.69 sg="No. 139" crystal_system=tetragonal volume_a3_per_atom=23.215 energy_ev_per_atom=-5.62 pbc="T T T"
Pm 3.510 0.000 2.119
Pm 0.000 3.510 2.119
Sm 0.000 0.000 1.549
Sm 0.000 0.000 6.928
Zn 0.000 0.000 4.239
Pt 1.738 1.738 0.000
Pt 1.772 -1.772 4.239
Pt -1.772 1.772 4.239
Pt 1.772 1.772 4.239

---

[2]
30
Lattice="2.181 -10.468 0.000 2.181 10.468 0.000 0.000 0.000 15.181" Properties=species:S:1:pos:R:3 comment="Pm4Sn5Pt6, relaxed, DFT PBE" ef_ev_per_atom=-0.88 sg="No. 36" crystal_system=orthorhombic volume_a3_per_atom=23.100 energy_ev_per_atom=-5.90 pbc="T T T"
Pm 2.181 9.911 7.590
Pm 2.181 9.465 11.773
Pm 2.181 7.400 4.298
Pm 2.181 6.712 14.361
Pm 2.181 -6.712 6.771
Pm 2.181 -7.400 11.888
Pm 2.181 -9.465 4.183
Pm 2.181 -9.911 0.000
Sn 2.181 6.935 9.432
Sn 2.181 3.770 9.235
Sn 2.181 3.597 4.320
Sn 2.181 3.113 14.476
Sn 2.181 0.672 9.983
Sn 2.181 -0.672 2.392
Sn 2.181 -3.113 6.885
Sn 2.181 -3.597 11.911
Sn 2.181 -3.770 1.645
Sn 2.181 -6.935 1.841
Pt 2.181 8.401 1.539
Pt 2.181 5.726 7.068
Pt 2.181 5.262 11.565
Pt 2.181 2.005 1.931
Pt 2.181 1.611 6.396
Pt 2.181 0.976 12.799
Pt 2.181 -0.976 5.209
Pt 2.181 -1.611 13.986
Pt 2.181 -2.005 9.522
Pt 2.181 -5.262 3.975
Pt 2.181 -5.726 14.659
Pt 2.181 -8.401 9.129

---

[3]
28
Lattice="4.435 0.000 0.000 0.000 13.545 0.000 0.000 0.000 10.113" Properties=species:S:1:pos:R:3 comment="Pm3Sn5Pt6, relaxed, DFT PBE" ef_ev_per_atom=-0.88 sg="No. 59" crystal_system=orthorhombic volume_a3_per_atom=21.699 energy_ev_per_atom=-5.91 pbc="T T T"
Pm 1.109 0.882 2.521
Pm 1.109 5.890 2.521
Pm 1.109 10.159 2.716
Pm 3.327 3.386 7.397
Pm 3.327 7.655 7.592
Pm 3.327 12.663 7.592
Sn 1.109 0.968 6.095
Sn 1.109 5.804 6.095
Sn 1.109 8.276 10.020
Sn 1.109 10.159 7.519
Sn 1.109 12.041 10.020
Sn 3.327 1.504 0.093
Sn 3.327 3.386 2.594
Sn 3.327 5.269 0.093
Sn 3.327 7.741 4.018
Sn 3.327 12.577 4.018
Pt 1.109 1.089 8.744
Pt 1.109 3.386 0.729
Pt 1.109 3.386 4.934
Pt 1.109 5.684 8.744
Pt 1.109 8.437 5.403
Pt 1.109 11.881 5.403
Pt 3.327 1.664 4.711
Pt 3.327 5.108 4.711
Pt 3.327 7.861 1.369
Pt 3.327 10.159 5.179
Pt 3.327 10.159 9.384
Pt 3.327 12.456 1.369

---

[4]
14
Lattice="8.908 0.000 0.000 -4.454 7.715 0.000 0.000 0.000 5.766" Properties=species:S:1:pos:R:3 comment="Pm3SnPt3, relaxed, DFT PBE" ef_ev_per_atom=-0.83 sg="No. 176" crystal_system=hexagonal volume_a3_per_atom=28.305 energy_ev_per_atom=-6.02 pbc="T T T"
Pm -1.203 2.586 1.441
Pm -1.613 7.463 1.441
Pm 1.638 2.335 4.324
Pm 2.816 5.380 1.441
Pm 6.067 0.251 4.324
Pm 5.657 5.128 4.324
Sn 0.000 5.143 4.324
Sn 4.454 2.572 1.441
Pt -1.323 2.787 4.324
Pt -1.379 7.467 4.324
Pt 1.752 2.539 1.441
Pt 2.702 5.176 4.324
Pt 5.834 0.248 1.441
Pt 5.777 4.928 1.441

---

[5]
20
Lattice="5.544 -7.258 0.000 5.544 7.258 0.000 0.000 0.000 7.363" Properties=species:S:1:pos:R:3 comment="Pm6SnPt3, relaxed, DFT PBE" ef_ev_per_atom=-0.76 sg="No. 36" crystal_system=orthorhombic volume_a3_per_atom=29.627 energy_ev_per_atom=-5.83 pbc="T T T"
Pm 5.544 7.183 3.681
Pm 3.336 3.116 3.755
Pm 5.544 3.884 1.216
Pm 3.658 0.483 0.658
Pm 3.658 -0.483 4.339
Pm 7.752 3.116 3.755
Pm 3.336 -3.116 0.073
Pm 7.430 0.483 0.658
Pm 7.430 -0.483 4.339
Pm 5.544 -3.884 4.897
Pm 7.752 -3.116 0.073
Pm 5.544 -7.183 0.000
Sn 5.544 4.544 5.574
Sn 5.544 -4.544 1.893
Pt 2.034 1.478 5.762
Pt 2.034 -1.478 2.081
Pt 5.544 1.344 2.755
Pt 5.544 -1.344 6.436
Pt 9.054 1.478 5.762
Pt 9.054 -1.478 2.081

---

[6]
20
Lattice="9.248 0.000 0.000 0.000 4.553 0.000 0.000 0.000 12.046" Properties=species:S:1:pos:R:3 comment="PmSn3Pt, relaxed, DFT PBE" ef_ev_per_atom=-0.54 sg="No. 62" crystal_system=orthorhombic volume_a3_per_atom=25.362 e_above_lowest_polymorph_mev_per_atom=67 energy_ev_per_atom=-5.10 pbc="T T T"
Pm 1.595 1.138 0.607
Pm 3.029 3.415 6.630
Pm 6.219 1.138 5.416
Pm 7.652 3.415 11.439
Sn 0.379 3.415 2.383
Sn 0.805 1.138 6.804
Sn 1.719 3.415 10.163
Sn 2.905 1.138 4.139
Sn 3.819 3.415 0.781
Sn 4.245 1.138 8.406
Sn 5.003 3.415 3.640
Sn 5.428 1.138 11.265
Sn 6.342 3.415 7.907
Sn 7.529 1.138 1.884
Sn 8.443 3.415 5.242
Sn 8.869 1.138 9.663
Pt 0.159 1.138 3.975
Pt 4.464 3.415 9.998
Pt 4.783 1.138 2.049
Pt 9.088 3.415 8.072

---

[7]
8
Lattice="-1.998 3.338 7.381 1.998 -3.338 7.381 1.998 3.338 -7.381" Properties=species:S:1:pos:R:3 comment="Pm3SnPt4, relaxed, DFT PBE" ef_ev_per_atom=-0.96 sg="No. 71" crystal_system=orthorhombic volume_a3_per_atom=24.613 energy_ev_per_atom=-6.26 pbc="T T T"
Pm 0.000 0.000 0.000
Pm 1.998 0.000 4.558
Pm 0.000 3.338 2.823
Sn 0.000 0.000 7.381
Pt 1.998 1.342 -1.837
Pt 1.998 1.342 1.837
Pt 0.000 1.995 5.544
Pt 0.000 1.995 9.218

---

[8]
16
Lattice="-2.321 4.754 8.856 2.321 -4.754 8.856 2.321 4.754 -8.856" Properties=species:S:1:pos:R:3 comment="PmSn2Pt, relaxed, DFT PBE" ef_ev_per_atom=-0.81 sg="No. 71" crystal_system=orthorhombic volume_a3_per_atom=24.426 e_above_lowest_polymorph_mev_per_atom=0 energy_ev_per_atom=-5.51 pbc="T T T"
Pm 0.000 0.000 3.591
Pm 0.000 2.225 0.000
Pm 0.000 7.282 0.000
Pm 0.000 0.000 14.120
Sn 2.321 0.000 1.377
Sn 2.321 -1.490 5.335
Sn 0.000 0.000 7.437
Sn 2.321 1.490 5.335
Sn 0.000 3.263 3.521
Sn 0.000 0.000 10.274
Sn 0.000 6.244 3.521
Sn 0.000 4.754 7.479
Pt 2.321 2.343 -2.629
Pt 2.321 2.343 2.629
Pt 0.000 2.411 6.227
Pt 0.000 2.411 11.484